The following is a PBE calculation of crystalline Mg2CoMo at its relaxed geometry, from Alexandria via LeMat-Bulk.

Structure (POSCAR):
```
Mg2CoMo
1.0
9.428 0.019 0.011
8.984 2.859 0.011
8.984 1.404 2.491
Co Mg Mo
1 2 1
Direct
0.755 0.755 0.755
0.244 0.244 0.244
0.012 0.012 0.012
0.489 0.489 0.489
```

Properties
ΔE_f = 102 kJ/mol of formula units
Energy above the most stable polymorph in this dataset = 0.62 eV per formula unit
DOS at the Fermi energy = 0.800 states/eV per atom
E = -5.02 eV/atom

=====

The following is a PBE calculation of crystalline Cd3InGe at its relaxed geometry, from Alexandria via LeMat-Bulk.

Structure (POSCAR):
```
Cd3InGe
1.0
5.307 0.000 0.000
0.000 5.307 0.000
0.000 0.000 5.307
Ge Cd In
1 3 1
Direct
0.000 0.000 0.000
0.000 0.500 0.000
0.000 0.000 0.500
0.500 0.000 0.000
0.500 0.500 0.500
```

Properties
ΔE_f = 150 kJ/mol of formula units
Energy above the most stable polymorph in this dataset = 0.00 eV per formula unit
DOS at the Fermi energy = 0.654 states/eV per atom
E = -1.71 eV/atom

=====

The following is a PBE calculation of crystalline Pr5SmTm2Sc at its relaxed geometry, from Alexandria via LeMat-Bulk.

Structure (POSCAR):
```
Pr5SmTm2Sc
1.0
-1.656 -3.215 -4.003
11.259 -0.208 -0.856
0.336 -8.135 6.395
Pr Tm Sm Sc
10 4 2 2
Direct
0.500 0.000 0.258
0.627 0.253 0.508
0.279 0.559 0.697
0.721 0.441 0.197
0.278 0.557 0.321
0.722 0.443 0.821
0.373 0.747 0.008
0.002 0.003 0.508
0.500 0.000 0.758
0.998 0.997 0.008
0.884 0.768 0.262
0.116 0.232 0.762
0.885 0.769 0.754
0.115 0.231 0.254
0.601 0.202 0.008
0.399 0.798 0.508
0.214 0.428 0.009
0.786 0.572 0.509
```

Properties
ΔE_f = 111 kJ/mol of formula units
DOS at the Fermi energy = 1.490 states/eV per atom
E = -4.75 eV/atom

=====

The following is a PBE calculation of crystalline ZrZnCu at its relaxed geometry, from Alexandria via LeMat-Bulk.

Structure (POSCAR):
```
ZrZnCu
1.0
-5.171 -2.164 -1.170
-3.813 -1.816 -3.867
0.406 -3.006 -0.182
Cu Zr Zn
1 1 1
Direct
0.984 0.984 0.016
0.663 0.663 0.337
0.353 0.353 0.647
```

Properties
ΔE_f = -44 kJ/mol of formula units
DOS at the Fermi energy = 0.654 states/eV per atom
E = -4.79 eV/atom

=====

Repeat the fourth record exactly.
The following is a PBE calculation of crystalline ZrZnCu at its relaxed geometry, from Alexandria via LeMat-Bulk.

Structure (POSCAR):
```
ZrZnCu
1.0
-5.171 -2.164 -1.170
-3.813 -1.816 -3.867
0.406 -3.006 -0.182
Cu Zr Zn
1 1 1
Direct
0.984 0.984 0.016
0.663 0.663 0.337
0.353 0.353 0.647
```

Properties
ΔE_f = -44 kJ/mol of formula units
DOS at the Fermi energy = 0.654 states/eV per atom
E = -4.79 eV/atom

=====

> Look up the ΔE_f of the first one.

102 kJ/mol of formula units